No. 1
Below is a crystal of WC3 relaxed with PBEsol, with properties calculated at the SCAN level.

The crystal system is hexagonal. The energy above the most stable polymorph in this dataset is 0 meV per atom.

The structure belongs to space group P6_3/mmc (No. 194); the cell edges are 4.4169, 4.4169 and 4.2721 Å and the angles 90.00°, 90.00° and 120.00°. The inequivalent atoms are W at (0.3333, 0.6667, 0.2500) and C at (0.2171, 0.4342, 0.7500).

No. 2
Below is a crystal of WC relaxed with PBEsol, with properties calculated at the SCAN level.

The crystal system is hexagonal. The energy above the most stable polymorph in this dataset is 0 meV per atom.

The structure belongs to space group P-6m2 (No. 187); the cell edges are 2.9021, 2.9021 and 2.8299 Å and the angles 90.00°, 90.00° and 120.00°. The inequivalent atoms are W at (0.0000, 0.0000, 0.0000) and C at (0.3333, 0.6667, 0.5000).

No. 3
Below is a crystal of WC5 relaxed with PBEsol, with properties calculated at the SCAN level.

The crystal system is orthorhombic. The energy above the most stable polymorph in this dataset is 0 meV per atom.

The structure belongs to space group Amm2 (No. 38); the cell edges are 2.5280, 2.6229 and 13.4750 Å and the angles 90.00°, 90.00° and 90.00°. The inequivalent atoms are W at (0.0000, 0.0000, 0.0000), C at (0.0000, 0.0000, 0.3312), C at (0.0000, 0.0000, 0.7652), C at (0.5000, 0.0000, 0.1355), C at (0.5000, 0.0000, 0.3997) and C at (0.5000, 0.0000, 0.6979).

No. 4
Below is a crystal of WC5 relaxed with PBEsol, with properties calculated at the SCAN level.

The crystal system is hexagonal. The energy above the most stable polymorph in this dataset is 2477 meV per atom.

The structure belongs to space group P6/mmm (No. 191); the cell edges are 4.5424, 4.5424 and 2.4743 Å and the angles 90.00°, 90.00° and 120.00°. The inequivalent atoms are W at (0.0000, 0.0000, 0.0000), C at (0.0000, 0.5000, 0.5000) and C at (0.3333, 0.6667, 0.0000).

No. 5
Below is a crystal of WC5 relaxed with PBEsol, with properties calculated at the SCAN level.

The crystal system is hexagonal. The energy above the most stable polymorph in this dataset is 1927 meV per atom.

The structure belongs to space group P-62m (No. 189); the cell edges are 3.8994, 3.8994 and 4.0483 Å and the angles 90.00°, 90.00° and 120.00°. The inequivalent atoms are W at (0.0000, 0.0000, 0.0000), C at (0.0000, 0.7782, 0.5000) and C at (0.3333, 0.6667, 0.0000).

No. 6
Below is a crystal of W3C relaxed with PBEsol, with properties calculated at the SCAN level.

The crystal system is tetragonal.

The structure belongs to space group P4/mmm (No. 123); the cell edges are 2.7029, 2.7029 and 7.1598 Å and the angles 90.00°, 90.00° and 90.00°. The inequivalent atoms are W at (0.0000, 0.0000, 0.0000), W at (0.5000, 0.5000, 0.3178) and C at (0.0000, 0.0000, 0.5000).

No. 7
Below is a crystal of WC relaxed with PBEsol, with properties calculated at the SCAN level.

The crystal system is monoclinic. The energy above the most stable polymorph in this dataset is 663 meV per atom.

The structure belongs to space group P2_1/m (No. 11); the cell edges are 2.8912, 3.9506 and 3.8946 Å and the angles 90.00°, 107.46° and 90.00°. The inequivalent atoms are W at (0.1924, 0.2500, 0.2630) and C at (0.4616, 0.7500, 0.1707).

No. 8
Below is a crystal of W2C3 relaxed with PBEsol, with properties calculated at the SCAN level.

The crystal system is trigonal.

The structure belongs to space group P-3m1 (No. 164); the cell edges are 3.7362, 3.7362 and 4.2309 Å and the angles 90.00°, 90.00° and 120.00°. The inequivalent atoms are W at (0.3333, 0.6667, 0.2755), C at (0.0000, 0.0000, 0.5000) and C at (0.3333, 0.6667, 0.7852).

No. 9
Below is a crystal of WC3 relaxed with PBEsol, with properties calculated at the SCAN level.

The crystal system is trigonal. The energy above the most stable polymorph in this dataset is 324 meV per atom.

The structure belongs to space group R-3m (No. 166, hexagonal axes); the cell edges are 2.6814, 2.6814 and 15.5892 Å and the angles 90.00°, 90.00° and 120.00°. The inequivalent atoms are W at (0.0000, 0.0000, 0.0000), C at (0.0000, 0.0000, 0.2313) and C at (0.0000, 0.0000, 0.5000).

No. 10
Below is a crystal of YWC3 relaxed with PBEsol, with properties calculated at the SCAN level.

The crystal system is cubic.

The structure belongs to space group Pm-3m (No. 221); the cell edges are 4.0456, 4.0456 and 4.0456 Å and the angles 90.00°, 90.00° and 90.00°. The inequivalent atoms are Y at (0.0000, 0.0000, 0.0000), W at (0.5000, 0.5000, 0.5000) and C at (0.0000, 0.5000, 0.5000).

No. 11
Below is a crystal of YWC2 relaxed with PBEsol, with properties calculated at the SCAN level.

The crystal system is orthorhombic.

The structure belongs to space group Pnma (No. 62); the cell edges are 5.6747, 3.3517 and 10.7036 Å and the angles 90.00°, 90.00° and 90.00°. The inequivalent atoms are Y at (0.0854, 0.2500, 0.1374), W at (0.0957, 0.7500, 0.3903), C at (0.1605, 0.2500, 0.7524) and C at (0.2239, 0.2500, 0.4847).

No. 12
Below is a crystal of ZnW3C relaxed with PBEsol, with properties calculated at the SCAN level.

The crystal system is cubic.

The structure belongs to space group Pm-3m (No. 221); the cell edges are 4.4768, 4.4768 and 4.4768 Å and the angles 90.00°, 90.00° and 90.00°. The inequivalent atoms are Zn at (0.0000, 0.0000, 0.0000), W at (0.0000, 0.0000, 0.5000) and C at (0.5000, 0.5000, 0.5000).

no.,ΔE_f (eV/f.u.),energy (eV per atom)
1,7.0,-23.240
2,-0.1,-39.968
3,4.6,-19.258
4,19.5,-16.781
5,16.2,-17.332
6,2.4,-54.185
7,1.2,-39.304
8,5.9,-32.753
9,8.3,-22.915
10,3.4,-24.888
11,-1.4,-29.771
12,17.7,-42.988